KPdRhF6: optimized geometry, GGA-PBE.

The spin magnetization is 0.22 μB/atom.

The structure belongs to space group Imma (No. 74); the cell edges are 7.398, 7.557 and 10.778 Å and the angles 90.00°, 90.00° and 90.00°. The distinct sites, in fractional coordinates, are K at (0.000, 0.250, 0.108), Pd at (0.250, 0.250, 0.750), Rh at (0.000, 0.000, 0.500), F at (0.000, 0.250, 0.435), F at (0.000, 0.250, 0.854) and F at (0.199, 0.026, 0.625).



KPd2RhF8: optimized geometry, GGA-PBE.

The spin magnetization is 0.34 μB/atom.

The structure belongs to space group R32 (No. 155, hexagonal axes); the cell edges are 5.4566, 5.4566 and 26.9814 Å and the angles 90.00°, 90.00° and 120.00°. The distinct sites, in fractional coordinates, are K at (0.0000, 0.0000, 0.0000), Pd at (0.0000, 0.0000, 0.2624), Rh at (0.0000, 0.0000, 0.5000), F at (0.0000, 0.0000, 0.3371) and F at (0.0123, 0.4592, 0.1209).



KPd2SF: optimized geometry, GGA-PBE.

Its energy above the most stable polymorph in this dataset is 0 meV/atom. The spin magnetization is 0.00 μB/atom.

The structure belongs to space group P4/mmm (No. 123); the cell edges are 4.371, 4.371 and 7.191 Å and the angles 90.00°, 90.00° and 90.00°. The distinct sites, in fractional coordinates, are K at (0.000, 0.000, 0.000), Pd at (0.000, 0.500, 0.500), S at (0.000, 0.000, 0.500) and F at (0.500, 0.500, 0.000).



KPd2SF: optimized geometry, GGA-PBE.

Its energy above the most stable polymorph in this dataset is 560 meV/atom. The spin magnetization is 0.00 μB/atom.

The structure belongs to space group P4/mmm (No. 123); the cell edges are 4.464, 4.464 and 4.811 Å and the angles 90.00°, 90.00° and 90.00°. The distinct sites, in fractional coordinates, are K at (0.000, 0.000, 0.000), Pd at (0.000, 0.500, 0.500), S at (0.500, 0.500, 0.000) and F at (0.000, 0.000, 0.500).



no.,theoretical density (g/cm³),formation energy (no corrections) (kJ/mol of formula units)
1,3.995,-1477
2,3.629,-1467
3,3.663,-350
4,5.247,-79